Version one
# LaSnSCl2

An optimized crystal structure of LaSnSCl2 (PBE-GGA, Alexandria).

Properties
Symmetry ... P4/mmm
Total magnetization ... 0.00 μB per cell
Theoretical density ... 3.531 Mg/m³
N(E_F) ... 0.86 states/eV per atom

Cell lengths 5.519, 5.519, 5.568 Å; angles 90.00, 90.00, 90.00 degrees
Fractional coordinates of all 5 atoms:
S  0.000  0.000  0.500
Cl  0.000  0.500  0.000
Cl  0.500  0.000  0.000
Sn  0.500  0.500  0.500
La  0.000  0.000  0.000

Version two
# LaSnSCl2

An optimized crystal structure of LaSnSCl2 (PBE-GGA, Alexandria).

Properties
Symmetry ... P4/mmm
Total magnetization ... 0.90 μB per cell
Theoretical density ... 3.932 Mg/m³
N(E_F) ... 1.37 states/eV per atom

Cell lengths 5.294, 5.294, 5.432 Å; angles 90.00, 90.00, 90.00 degrees
Fractional coordinates of all 5 atoms:
S  0.000  0.000  0.500
Cl  0.000  0.500  0.000
Cl  0.500  0.000  0.000
Sn  0.000  0.000  0.000
La  0.500  0.500  0.500

Question: which arrangement is favored energetically? Ranking from most to least stable: version one, version two.

Version one
# SrLaSCl2

An optimized crystal structure of SrLaSCl2 (PBE-GGA, Alexandria).

Properties
Symmetry ... P4/mmm
Total magnetization ... 0.00 μB per cell
Theoretical density ... 3.156 Mg/m³
N(E_F) ... 0.73 states/eV per atom

Cell lengths 5.592, 5.592, 5.546 Å; angles 90.00, 90.00, 90.00 degrees
Fractional coordinates of all 5 atoms:
Sr  0.500  0.500  0.500
S  0.000  0.000  0.500
Cl  0.000  0.500  0.000
Cl  0.500  0.000  0.000
La  0.000  0.000  0.000

Version two
# SrLaSCl2

An optimized crystal structure of SrLaSCl2 (PBE-GGA, Alexandria).

Properties
Symmetry ... P4/mmm
Total magnetization ... 0.30 μB per cell
Theoretical density ... 3.354 Mg/m³
N(E_F) ... 1.25 states/eV per atom

Cell lengths 5.350, 5.350, 5.698 Å; angles 90.00, 90.00, 90.00 degrees
Fractional coordinates of all 5 atoms:
Sr  0.000  0.000  0.000
S  0.000  0.000  0.500
Cl  0.000  0.500  0.000
Cl  0.500  0.000  0.000
La  0.500  0.500  0.500

Question: which arrangement is favored energetically? Ranking from most to least stable: version one, version two.

Version one
# LaTcSCl2

An optimized crystal structure of LaTcSCl2 (PBE-GGA, Alexandria).

Properties
Symmetry ... P4/mmm
Total magnetization ... 5.28 μB per cell
Theoretical density ... 3.304 Mg/m³
N(E_F) ... 0.86 states/eV per atom

Cell lengths 5.537, 5.537, 5.573 Å; angles 90.00, 90.00, 90.00 degrees
Fractional coordinates of all 5 atoms:
S  0.000  0.000  0.500
Cl  0.000  0.500  0.000
Cl  0.500  0.000  0.000
Tc  0.500  0.500  0.500
La  0.000  0.000  0.000

Version two
# LaTcSCl2

An optimized crystal structure of LaTcSCl2 (PBE-GGA, Alexandria).

Properties
Symmetry ... P4/mmm
Total magnetization ... 0.01 μB per cell
Theoretical density ... 5.282 Mg/m³
N(E_F) ... 0.86 states/eV per atom

Cell lengths 4.765, 4.765, 4.707 Å; angles 90.00, 90.00, 90.00 degrees
Fractional coordinates of all 5 atoms:
S  0.000  0.000  0.500
Cl  0.000  0.500  0.000
Cl  0.500  0.000  0.000
Tc  0.000  0.000  0.000
La  0.500  0.500  0.500

Question: which arrangement is favored energetically? Ranking from most to least stable: version two, version one.

Version one
# LaVSCl2

An optimized crystal structure of LaVSCl2 (PBE-GGA, Alexandria).

Properties
Symmetry ... P4/mmm
Total magnetization ... 4.00 μB per cell
Theoretical density ... 2.866 Mg/m³
N(E_F) ... 1.02 states/eV per atom

Cell lengths 5.526, 5.526, 5.556 Å; angles 90.00, 90.00, 90.00 degrees
Fractional coordinates of all 5 atoms:
Cl  0.000  0.500  0.000
Cl  0.500  0.000  0.000
S  0.000  0.000  0.500
V  0.500  0.500  0.500
La  0.000  0.000  0.000

Version two
# LaVSCl2

An optimized crystal structure of LaVSCl2 (PBE-GGA, Alexandria).

Properties
Symmetry ... P4/mmm
Total magnetization ... 2.83 μB per cell
Theoretical density ... 4.504 Mg/m³
N(E_F) ... 0.84 states/eV per atom

Cell lengths 4.697, 4.697, 4.893 Å; angles 90.00, 90.00, 90.00 degrees
Fractional coordinates of all 5 atoms:
Cl  0.000  0.500  0.000
Cl  0.500  0.000  0.000
S  0.000  0.000  0.500
V  0.000  0.000  0.000
La  0.500  0.500  0.500

Question: which arrangement is favored energetically? Ranking from most to least stable: version two, version one.